Entry 1:
Material: CrNi5Pt8
Method: DFT, PBE-GGA
State: relaxed

abc: 6.433 6.433 6.433
angles: 109.98 108.46 109.98
Last column: magnetic moment on the atom in μB.
Element x y z (fractional)
Cr  0.250  0.500  0.750  2.43
Ni  0.029  0.316  0.117  -0.62
Ni  0.883  0.912  0.198  -0.62
Ni  0.802  0.684  0.713  -0.62
Ni  0.500  0.000  0.500  -0.75
Ni  0.287  0.088  0.971  -0.62
Pt  0.146  0.717  0.065  -0.23
Pt  0.935  0.081  0.652  -0.23
Pt  0.749  0.265  0.348  -0.22
Pt  0.652  0.401  0.917  -0.22
Pt  0.516  0.599  0.251  -0.22
Pt  0.571  0.919  0.854  -0.23
Pt  0.348  0.283  0.429  -0.23
Pt  0.083  0.735  0.484  -0.22

Properties
DOS(E_F)	20.40	states/eV per cell
space-group type	I-4
energy relative to the elements	1.474	eV per formula unit
size of the total moment	2.31	μB/cell
crystal system	tetragonal
theoretical density	15450	kg/m³
energy	-6.099	eV/atom
V	14.63	A^3/atom

=====

Entry 2:
Material: CrNi2Pt7
Method: DFT, PBE-GGA
State: relaxed

abc: 4.147 7.140 7.140
angles: 120.10 90.00 90.00
Last column: magnetic moment on the atom in μB.
Element x y z (fractional)
Cr  0.000  0.000  0.000  2.86
Ni  0.500  0.697  0.303  -0.45
Ni  0.500  0.303  0.697  -0.45
Pt  0.000  0.796  0.204  -0.24
Pt  0.000  0.204  0.796  -0.24
Pt  0.500  0.075  0.298  -0.14
Pt  0.500  0.925  0.702  -0.14
Pt  0.500  0.298  0.075  -0.14
Pt  0.500  0.702  0.925  -0.14
Pt  0.500  0.500  0.500  -0.15

Properties
DOS(E_F)	15.62	states/eV per cell
space-group type	Cmmm
energy relative to the elements	3.760	eV per formula unit
size of the total moment	1.06	μB/cell
crystal system	orthorhombic
theoretical density	13936	kg/m³
energy	-5.971	eV/atom
V	18.29	A^3/atom

=====

Entry 3:
Material: CrNi4Pt3
Method: DFT, PBE-GGA
State: relaxed

abc: 2.647 4.584 17.595
angles: 31.95 94.31 90.00
Last column: magnetic moment on the atom in μB.
Element x y z (fractional)
Cr  0.500  0.000  0.000  2.05
Ni  0.767  0.639  0.534  0.60
Ni  0.233  0.361  0.466  0.60
Ni  0.103  0.195  0.206  0.27
Ni  0.897  0.805  0.794  0.27
Pt  0.000  0.500  0.000  0.02
Pt  0.150  0.389  0.299  0.17
Pt  0.850  0.611  0.701  0.17

Properties
DOS(E_F)	10.84	states/eV per cell
space-group type	C2/m
energy relative to the elements	1.685	eV per formula unit
size of the total moment	4.17	μB/cell
crystal system	monoclinic
theoretical density	12951	kg/m³
energy	-6.148	eV/atom
V	13.98	A^3/atom

=====

Entry 4:
Material: CrNi2Pt8
Method: DFT, PBE-GGA
State: relaxed

abc: 3.911 6.170 7.236
angles: 105.58 105.68 90.00
Last column: magnetic moment on the atom in μB.
Element x y z (fractional)
Cr  0.500  0.000  0.000  2.46
Ni  0.225  0.632  0.450  0.61
Ni  0.775  0.368  0.550  0.61
Pt  0.597  0.449  0.193  0.09
Pt  0.319  0.084  0.637  0.06
Pt  0.138  0.188  0.275  0.09
Pt  0.047  0.729  0.094  0.06
Pt  0.862  0.812  0.725  0.09
Pt  0.681  0.916  0.363  0.06
Pt  0.403  0.551  0.807  0.09
Pt  0.953  0.271  0.906  0.06

Properties
DOS(E_F)	18.33	states/eV per cell
space-group type	C2/m
energy relative to the elements	-1.382	eV per formula unit
size of the total moment	4.38	μB/cell
crystal system	monoclinic
theoretical density	17791	kg/m³
energy	-6.445	eV/atom
V	14.68	A^3/atom